DFT (GGA-PBE) results for a geometry-optimized Sc2InRh structure.

Computed properties:
energy of formation: -0.606 eV per atom
N(E_F): 2.264 states/eV/cell

abc: 5.083 5.083 5.083
angles: 132.52 121.90 78.21
Element x y z (fractional)
Sc1 0.219 0.219 0.000
Sc2 0.781 0.781 0.000
In1 0.500 0.000 0.500
Rh1 0.000 0.500 0.500

=====

DFT (GGA-PBE) results for a geometry-optimized Ca2Sm3In3 structure.

Computed properties:
energy of formation: -0.308 eV per atom
N(E_F): 9.842 states/eV/cell

abc: 12.031 12.031 12.031
angles: 161.71 153.43 32.45
Element x y z (fractional)
Ca1 0.232 0.232 0.000
Ca2 0.768 0.768 0.000
Sm1 0.000 0.000 0.000
Sm2 0.382 0.882 0.500
Sm3 0.618 0.118 0.500
In1 0.120 0.620 0.500
In2 0.500 0.500 0.000
In3 0.880 0.380 0.500

=====

DFT (GGA-PBE) results for a geometry-optimized Mn2MoRh structure.

Computed properties:
energy of formation: 0.001 eV per atom
N(E_F): 3.504 states/eV/cell

abc: 2.718 2.718 7.311
angles: 90.00 90.00 90.00
Element x y z (fractional)
Mn1 0.000 0.000 0.000
Mn2 0.500 0.500 0.215
Mo1 0.000 0.000 0.478
Rh1 0.500 0.500 0.744

=====

| no. | calculated total energy (eV per atom) |
| --- | --- |
| 1 | -6.29 |
| 2 | -3.61 |
| 3 | -9.13 |